Here is a relaxed structure of TlTc2P from Alexandria. Energies are from GGA-PBE.

Energy of formation   72 kJ per mole of atoms
Spin magnetization   0.000 Bohr magnetons per cell
E_tot   -6.38 eV per atom
ΔE to the lowest computed polymorph   701 meV/atom

Cell lengths 4.999, 4.999, 4.999 Å; angles 133.31, 133.31, 68.16 degrees
Sites, in units of the cell vectors:
Tl 0.000 0.000 0.000
Tc 0.500 0.500 0.000
Tc 0.750 0.250 0.500
P 0.250 0.750 0.500